Entry 1:
This record from the Alexandria database describes a relaxed V3NiOs crystal. The functional is GGA-PBE.

Lattice parameters (Å, degrees): 4.5493 4.5493 4.5493 90.00 90.00 90.00
Element x y z (fractional)
Os  0.0000  0.0000  0.0000
V  0.5000  0.0000  0.0000
V  0.0000  0.5000  0.0000
V  0.0000  0.0000  0.5000
Ni  0.5000  0.5000  0.5000

**Energy relative to the elements**: 1.294 eV/atom
**ρ**: 7.09 g/cm3
**Uncorrected energy**: -7.580 eV/atom
**SG**: No. 221
**Relative energy among the computed polymorphs**: 272 meV/atom

Entry 2:
This record from the Alexandria database describes a relaxed CaTaTl2 crystal. The functional is GGA-PBE.

Lattice parameters (Å, degrees): 4.8068 4.8068 10.6302 76.93 76.93 90.00
Element x y z (fractional)
Tl  0.8750  0.9269  0.7500
Tl  0.6769  0.1250  0.2500
Tl  0.0731  0.6250  0.2500
Tl  0.3750  0.3231  0.7500
Ca  0.2500  0.7500  0.5000
Ca  0.5000  0.5000  0.0000
Ta  0.0000  0.0000  0.0000
Ta  0.7500  0.2500  0.5000

**Energy relative to the elements**: 0.751 eV/atom
**ρ**: 8.99 g/cm3
**Uncorrected energy**: -3.895 eV/atom
**SG**: No. 122

Entry 3:
This record from the Alexandria database describes a relaxed TcBiPt crystal. The functional is GGA-PBE.

Lattice parameters (Å, degrees): 3.2471 3.2462 13.2758 90.00 90.00 120.01
Element x y z (fractional)
Bi  0.5558  0.1115  0.2991
Bi  0.5558  0.1115  0.7009
Tc  0.2223  0.4446  0.1449
Tc  0.2223  0.4446  0.8551
Pt  0.5557  0.1113  0.0000
Pt  0.5548  0.1096  0.5000

**Energy relative to the elements**: 0.524 eV/atom
**ρ**: 13.76 g/cm3
**Uncorrected energy**: -6.238 eV/atom
**SG**: No. 187

Entry 4:
This record from the Alexandria database describes a relaxed SiTcHRu2 crystal. The functional is GGA-PBE.

Lattice parameters (Å, degrees): 3.8885 3.8885 3.8179 90.00 90.00 90.00
Element x y z (fractional)
Ru  0.5000  0.0000  0.0000
Ru  0.0000  0.5000  0.0000
H  0.0000  0.0000  0.0000
Si  0.5000  0.5000  0.5000
Tc  0.0000  0.0000  0.5000

**ρ**: 9.47 g/cm3
**Uncorrected energy**: -7.475 eV/atom
**SG**: No. 123

Entry 5:
This record from the Alexandria database describes a relaxed Pm5PrSb3 crystal. The functional is GGA-PBE.

Lattice parameters (Å, degrees): 7.7918 7.7918 10.8230 111.10 111.10 90.00
Element x y z (fractional)
Pm  0.5616  0.6913  0.7529
Pm  0.1913  0.0616  0.7529
Pm  0.0616  0.5616  0.7529
Pm  0.0000  0.0000  0.0000
Pm  0.5000  0.5000  0.0000
Pm  0.6913  0.1913  0.7529
Pm  0.8087  0.9384  0.2471
Pm  0.3087  0.8087  0.2471
Pm  0.4384  0.3087  0.2471
Pm  0.9384  0.4384  0.2471
Sb  0.2500  0.2500  0.5000
Sb  0.8682  0.6318  0.0000
Sb  0.1318  0.3682  0.0000
Sb  0.7500  0.7500  0.5000
Sb  0.3682  0.8682  0.0000
Sb  0.6318  0.1318  0.0000
Pr  0.7500  0.2500  0.5000
Pr  0.2500  0.7500  0.5000

**ρ**: 7.23 g/cm3
**Uncorrected energy**: -4.987 eV/atom
**Formation energy without anion corrections**: -42.7 kJ per mole of atoms
**SG**: No. 140

Entry 6:
This record from the Alexandria database describes a relaxed AlZnFe2 crystal. The functional is GGA-PBE.

Lattice parameters (Å, degrees): 4.1410 4.1410 4.1410 60.00 60.00 60.00
Element x y z (fractional)
Zn  0.7500  0.7500  0.7500
Al  0.5000  0.5000  0.5000
Fe  0.0000  0.0000  0.0000
Fe  0.2500  0.2500  0.2500

**Energy relative to the elements**: -0.087 eV/atom
**ρ**: 6.75 g/cm3
**Uncorrected energy**: -5.572 eV/atom
**SG**: No. 216

Entry 7:
This record from the Alexandria database describes a relaxed MgCu4Br crystal. The functional is GGA-PBE.

Lattice parameters (Å, degrees): 5.0983 5.0983 5.0983 60.00 60.00 60.00
Element x y z (fractional)
Br  0.0000  0.0000  0.0000
Cu  0.3755  0.8736  0.3755
Cu  0.3755  0.3755  0.3755
Cu  0.8736  0.3755  0.3755
Cu  0.3755  0.3755  0.8736
Mg  0.7500  0.7500  0.7500

**ρ**: 6.35 g/cm3
**Uncorrected energy**: -3.132 eV/atom
**Formation energy without anion corrections**: 13.8 kJ per mole of atoms
**SG**: No. 216

Entry 8:
This record from the Alexandria database describes a relaxed Sr2SmMg crystal. The functional is GGA-PBE.

Lattice parameters (Å, degrees): 3.7738 3.7738 13.2570 81.82 81.82 60.00
Element x y z (fractional)
Mg  0.5000  0.5000  0.5000
Sr  0.0925  0.0925  0.7226
Sr  0.9075  0.9075  0.2774
Sm  0.0000  0.0000  0.0000

**Energy relative to the elements**: 0.304 eV/atom
**ρ**: 3.60 g/cm3
**Uncorrected energy**: -2.115 eV/atom
**SG**: No. 166
**Relative energy among the computed polymorphs**: 175 meV/atom

Entry 9:
This record from the Alexandria database describes a relaxed Tb5Ce2Dy6 crystal. The functional is GGA-PBE.

Lattice parameters (Å, degrees): 3.5404 11.3902 20.6946 90.00 90.00 90.00
Element x y z (fractional)
Dy  0.0000  0.5845  0.4382
Dy  0.0000  0.9155  0.9382
Dy  0.5000  0.1837  0.6247
Dy  0.0000  0.4330  0.8533
Dy  0.0000  0.4155  0.5618
Dy  0.0000  0.0670  0.3533
Dy  0.5000  0.6837  0.8753
Dy  0.5000  0.3163  0.1247
Dy  0.5000  0.8163  0.3753
Dy  0.0000  0.5670  0.1467
Dy  0.0000  0.9330  0.6467
Dy  0.0000  0.0845  0.0618
Ce  0.0000  0.6907  0.7346
Ce  0.0000  0.8093  0.2346
Ce  0.0000  0.1907  0.7654
Ce  0.0000  0.3093  0.2654
Tb  0.5000  0.5000  0.0000
Tb  0.5000  0.4361  0.7063
Tb  0.5000  0.0639  0.2063
Tb  0.5000  0.5639  0.2937
Tb  0.5000  0.6862  0.5795
Tb  0.5000  0.1862  0.9205
Tb  0.5000  0.3138  0.4205
Tb  0.5000  0.8138  0.0795
Tb  0.5000  0.0000  0.5000
Tb  0.5000  0.9361  0.7937

**Energy relative to the elements**: 0.129 eV/atom
**ρ**: 8.16 g/cm3
**Uncorrected energy**: -4.689 eV/atom
**SG**: No. 55

Entry 10:
This record from the Alexandria database describes a relaxed SrTlSCl2 crystal. The functional is GGA-PBE.

Lattice parameters (Å, degrees): 5.6284 5.6284 5.8572 90.00 90.00 90.00
Element x y z (fractional)
Tl  0.5000  0.5000  0.5000
Sr  0.0000  0.0000  0.0000
Cl  0.0000  0.5000  0.0000
Cl  0.5000  0.0000  0.0000
S  0.0000  0.0000  0.5000

**ρ**: 3.53 g/cm3
**Uncorrected energy**: -3.557 eV/atom
**Formation energy without anion corrections**: -114.2 kJ per mole of atoms
**SG**: No. 123
**Relative energy among the computed polymorphs**: 0 meV/atom